No. 1
First-principles (GGA-PBE) data for Sm3Al7Zn2 after structural relaxation, as listed in Alexandria via LeMat-Bulk.

abc: 5.5976 5.5976 26.1974
angles: 90.00 90.00 120.00
Space group R-3m (No. 166, hexagonal axes)
Inequivalent atoms, fractional coordinates:
Sm  0.0000  0.0000  0.0000 x3
Sm  0.0000  0.0000  0.1407 x6
Al  0.0000  0.0000  0.5000 x3
Al  0.0058  0.5029  0.9185 x18
Zn  0.0000  0.0000  0.3352 x6

No. 2
First-principles (GGA-PBE) data for Sm2AlZn after structural relaxation, as listed in Alexandria via LeMat-Bulk.

abc: 7.344 7.344 7.344
angles: 90.00 90.00 90.00
Space group Fm-3m (No. 225)
Inequivalent atoms, fractional coordinates:
Sm  0.250  0.250  0.250 x8
Al  0.000  0.000  0.000 x4
Zn  0.000  0.000  0.500 x4

No. 3
First-principles (GGA-PBE) data for Sm4AlZn3 after structural relaxation, as listed in Alexandria via LeMat-Bulk.

abc: 5.1605 5.1605 25.3664
angles: 90.00 90.00 120.00
Space group R-3m (No. 166, hexagonal axes)
Inequivalent atoms, fractional coordinates:
Sm  0.0000  0.0000  0.1238 x6
Sm  0.0000  0.0000  0.3739 x6
Al  0.0000  0.0000  0.5000 x3
Zn  0.0000  0.0000  0.0000 x3
Zn  0.0000  0.0000  0.2486 x6

No. 4
First-principles (GGA-PBE) data for Sm6Al2Zn after structural relaxation, as listed in Alexandria via LeMat-Bulk.

abc: 5.088 7.257 15.243
angles: 90.00 90.00 90.00
Space group Immm (No. 71)
Inequivalent atoms, fractional coordinates:
Sm  0.000  0.246  0.000 x4
Sm  0.000  0.252  0.335 x8
Al  0.000  0.500  0.166 x4
Zn  0.000  0.500  0.500 x2

No. 5
First-principles (GGA-PBE) data for SmAlZn17 after structural relaxation, as listed in Alexandria via LeMat-Bulk.

abc: 8.9204 8.9204 13.4537
angles: 90.00 90.00 120.00
Space group R3m (No. 160, hexagonal axes)
Inequivalent atoms, fractional coordinates:
Sm  0.0000  0.0000  0.0000 x3
Al  0.0000  0.0000  0.7467 x3
Zn  0.0000  0.0000  0.2406 x3
Zn  0.0000  0.0000  0.4357 x3
Zn  0.0032  0.5016  0.4986 x9
Zn  0.0051  0.3568  0.0009 x18
Zn  0.0073  0.5037  0.8259 x9
Zn  0.1672  0.3345  0.5138 x9

No. 6
First-principles (GGA-PBE) data for SmZrAlZn after structural relaxation, as listed in Alexandria via LeMat-Bulk.

abc: 7.015 7.015 7.015
angles: 90.00 90.00 90.00
Space group F-43m (No. 216)
Inequivalent atoms, fractional coordinates:
Sm  0.000  0.000  0.000 x4
Zr  0.000  0.000  0.500 x4
Al  0.250  0.250  0.750 x4
Zn  0.250  0.250  0.250 x4

No. 7
First-principles (GGA-PBE) data for AlSn after structural relaxation, as listed in Alexandria via LeMat-Bulk.

abc: 5.719 6.446 10.035
angles: 90.00 90.00 90.00
Space group P2_12_12_1 (No. 19)
Inequivalent atoms, fractional coordinates:
Al  0.083  0.017  0.332 x4
Al  0.203  0.681  0.977 x4
Sn  0.083  0.352  0.758 x4
Sn  0.085  0.135  0.056 x4

No. 8
First-principles (GGA-PBE) data for AlSn5 after structural relaxation, as listed in Alexandria via LeMat-Bulk.

abc: 5.346 14.219 4.128
angles: 90.00 90.00 90.00
Space group Cmmm (No. 65)
Inequivalent atoms, fractional coordinates:
Al  0.000  0.000  0.000 x2
Sn  0.000  0.148  0.500 x4
Sn  0.000  0.325  0.000 x4
Sn  0.000  0.500  0.500 x2

No. 9
First-principles (GGA-PBE) data for AlSn after structural relaxation, as listed in Alexandria via LeMat-Bulk.

abc: 7.083 7.083 4.863
angles: 90.00 90.00 90.00
Space group P4_2/mnm (No. 136)
Inequivalent atoms, fractional coordinates:
Al  0.232  0.232  0.000 x4
Sn  0.154  0.846  0.000 x4

No. 10
First-principles (GGA-PBE) data for AlSn after structural relaxation, as listed in Alexandria via LeMat-Bulk.

abc: 4.045 12.672 5.861
angles: 90.00 90.00 90.00
Space group Pmmn (No. 59, origin choice 2)
Inequivalent atoms, fractional coordinates:
Al  0.250  0.142  0.079 x4
Al  0.250  0.750  0.706 x2
Sn  0.250  0.250  0.638 x2
Sn  0.250  0.508  0.706 x4

No. 11
First-principles (GGA-PBE) data for AlSn after structural relaxation, as listed in Alexandria via LeMat-Bulk.

abc: 3.070 3.857 4.206
angles: 88.64 70.49 86.68
Space group P1 (No. 1)
Inequivalent atoms, fractional coordinates:
Al  0.000  0.000  0.000 x1
Sn  0.292  0.498  0.447 x1

No. 12
First-principles (GGA-PBE) data for AlSn after structural relaxation, as listed in Alexandria via LeMat-Bulk.

abc: 6.275 6.275 6.275
angles: 90.00 90.00 90.00
Space group F-43m (No. 216)
Inequivalent atoms, fractional coordinates:
Al  0.000  0.000  0.000 x4
Sn  0.250  0.250  0.750 x4

No. 13
First-principles (GGA-PBE) data for AlSn after structural relaxation, as listed in Alexandria via LeMat-Bulk.

abc: 4.0865 4.0865 8.1124
angles: 90.00 90.00 120.00
Space group P6_3mc (No. 186)
Inequivalent atoms, fractional coordinates:
Al  0.3333  0.6667  0.0000 x2
Sn  0.3333  0.6667  0.3297 x2

No. 14
First-principles (GGA-PBE) data for AlSn after structural relaxation, as listed in Alexandria via LeMat-Bulk.

abc: 7.737 7.737 7.737
angles: 90.00 90.00 90.00
Space group Pm-3n (No. 223)
Inequivalent atoms, fractional coordinates:
Al  0.000  0.250  0.500 x6
Sn  0.000  0.500  0.250 x6

No. 15
First-principles (GGA-PBE) data for AlSn after structural relaxation, as listed in Alexandria via LeMat-Bulk.

abc: 11.170 11.170 4.265
angles: 90.00 90.00 90.00
Space group I4/m (No. 87)
Inequivalent atoms, fractional coordinates:
Al  0.179  0.735  0.000 x8
Sn  0.056  0.335  0.000 x8

No. 16
First-principles (GGA-PBE) data for AlSn after structural relaxation, as listed in Alexandria via LeMat-Bulk.

abc: 3.267 4.686 7.283
angles: 90.00 90.00 90.00
Space group Imm2 (No. 44)
Inequivalent atoms, fractional coordinates:
Al  0.000  0.000  0.000 x2
Sn  0.000  0.500  0.187 x2

No. 17
First-principles (GGA-PBE) data for AlSn after structural relaxation, as listed in Alexandria via LeMat-Bulk.

abc: 4.1877 4.1877 3.2991
angles: 90.00 90.00 120.00
Space group P-6m2 (No. 187)
Inequivalent atoms, fractional coordinates:
Al  0.0000  0.0000  0.0000 x1
Sn  0.3333  0.6667  0.5000 x1

No. 18
First-principles (GGA-PBE) data for AlSn after structural relaxation, as listed in Alexandria via LeMat-Bulk.

abc: 6.090 8.619 14.848
angles: 90.00 90.00 90.00
Space group Fddd (No. 70, origin choice 2)
Inequivalent atoms, fractional coordinates:
Al  0.125  0.125  0.036 x16
Sn  0.125  0.307  0.625 x16

No. 19
First-principles (GGA-PBE) data for AlSn after structural relaxation, as listed in Alexandria via LeMat-Bulk.

abc: 5.791 3.079 5.334
angles: 90.00 90.00 90.00
Space group Amm2 (No. 38)
Inequivalent atoms, fractional coordinates:
Al  0.000  0.000  0.000 x2
Sn  0.500  0.000  0.002 x2

No. 20
First-principles (GGA-PBE) data for AlSn after structural relaxation, as listed in Alexandria via LeMat-Bulk.

abc: 3.555 3.555 3.555
angles: 90.00 90.00 90.00
Space group Pm-3m (No. 221)
Inequivalent atoms, fractional coordinates:
Al  0.000  0.000  0.000 x1
Sn  0.500  0.500  0.500 x1

no.,uncorrected energy (eV per atom)
1,-4.0092
2,-3.9594
3,-3.6341
4,-4.1223
5,-1.6762
6,-4.8453
7,-3.7274
8,-3.8564
9,-3.5919
10,-3.7011
11,-3.6862
12,-3.5670
13,-3.5894
14,-3.4392
15,-3.5057
16,-3.7316
17,-3.6806
18,-3.6650
19,-3.6364
20,-3.6858